No. 1
A geometry-optimized Ba2TaAu structure. Source: Alexandria, functional GGA-PBE.

Computed properties:
ΔE_f ... 0.658 eV/atom
D(E_F) ... 2.53 states/eV/cell
Energy relative to the lowest polymorph listed for this composition ... 448 meV/atom

Lattice parameters (Å, degrees): 3.702 3.702 10.825 80.56 80.56 59.19
Positions (direct):
Ba1 0.504 0.504 0.489
Ta1 0.750 0.750 0.750
Ba2 0.996 0.996 0.011
Au1 0.250 0.250 0.250

***

No. 2
A geometry-optimized MnW8 structure. Source: Alexandria, functional GGA-PBE.

Computed properties:
ΔE_f ... 0.064 eV/atom
D(E_F) ... 6.58 states/eV/cell

Lattice parameters (Å, degrees): 3.174 6.867 6.867 93.06 103.36 76.64
Last column: magnetic moment on the atom in μB.
Positions (direct):
W1 0.336 0.328 0.000  -0.05
W2 0.000 0.669 0.669  0.00
W3 0.331 0.669 0.331  0.00
W4 0.000 0.331 0.331  0.00
W5 0.669 0.331 0.669  0.00
W6 0.664 0.672 0.000  -0.05
W7 0.336 0.000 0.672  -0.05
Mn1 0.000 0.000 0.000  1.67
W8 0.664 0.000 0.328  -0.05

***

No. 3
A geometry-optimized Rb2Zn2CdTe4 structure. Source: Alexandria, functional GGA-PBE.

Computed properties:
Electronic total energy ... -23.86 eV/f.u.

Lattice parameters (Å, degrees): 4.374 8.489 9.098 108.25 103.91 90.00
Positions (direct):
Te1 0.788 0.819 0.577
Te2 0.477 0.221 0.953
Te3 0.523 0.779 0.047
Zn1 0.326 0.019 0.653
Zn2 0.674 0.981 0.347
Cd1 0.000 0.000 0.000
Rb1 0.874 0.460 0.749
Te4 0.212 0.181 0.423
Rb2 0.126 0.540 0.251

***

No. 4
A geometry-optimized CuTe2Pb structure. Source: Alexandria, functional GGA-PBE.

Computed properties:
D(E_F) ... 1.60 states/eV/cell
Electronic total energy ... -14.24 eV/f.u.

Lattice parameters (Å, degrees): 5.962 5.962 6.020 59.51 59.51 38.36
Positions (direct):
Pb1 0.250 0.250 0.250
Cu1 0.750 0.750 0.750
Te1 0.427 0.427 0.575
Te2 0.073 0.073 0.925

***

No. 5
A geometry-optimized BeCrBr2 structure. Source: Alexandria, functional GGA-PBE.

Computed properties:
D(E_F) ... 1.59 states/eV/cell
Energy relative to the lowest polymorph listed for this composition ... 647 meV/atom

Lattice parameters (Å, degrees): 3.451 3.451 6.808 90.00 90.00 90.00
Last column: magnetic moment on the atom in μB.
Positions (direct):
Br1 0.000 0.000 0.499  -0.01
Br2 0.000 0.000 0.001  -0.01
Cr1 0.500 0.500 0.250  4.05
Be1 0.500 0.500 0.750  -0.11

***

No. 6
A geometry-optimized NiIr8Os2 structure. Source: Alexandria, functional GGA-PBE.

Computed properties:
ΔE_f ... 0.217 eV/atom
D(E_F) ... 11.59 states/eV/cell

Lattice parameters (Å, degrees): 3.834 7.574 7.112 122.17 105.64 90.00
Positions (direct):
Os1 0.832 0.332 0.664
Ir1 0.662 0.416 0.324
Os2 0.168 0.668 0.336
Ir2 0.338 0.584 0.676
Ir3 0.662 0.908 0.324
Ir4 0.173 0.173 0.346
Ni1 0.500 0.000 0.000
Ir5 0.338 0.092 0.676
Ir6 0.000 0.251 0.000
Ir7 0.000 0.749 0.000
Ir8 0.827 0.827 0.654

***

No. 7
A geometry-optimized BiRh2Pb2 structure. Source: Alexandria, functional GGA-PBE.

Computed properties:
ΔE_f ... 0.237 eV/atom
D(E_F) ... 4.10 states/eV/cell
Energy relative to the lowest polymorph listed for this composition ... 283 meV/atom

Lattice parameters (Å, degrees): 4.314 4.314 6.992 72.03 72.03 90.00
Positions (direct):
Pb1 0.250 0.750 0.500
Rh1 0.395 0.395 0.211
Pb2 0.750 0.250 0.500
Rh2 0.605 0.605 0.789
Bi1 0.000 0.000 0.000

***

No. 8
A geometry-optimized PaSnOs2 structure. Source: Alexandria, functional GGA-PBE.

Computed properties:
ΔE_f ... 0.029 eV/atom
D(E_F) ... 5.20 states/eV/cell
Energy relative to the lowest polymorph listed for this composition ... 134 meV/atom

Lattice parameters (Å, degrees): 4.773 4.773 4.773 60.00 60.00 60.00
Positions (direct):
Pa1 0.500 0.500 0.500
Os1 0.750 0.750 0.750
Sn1 0.000 0.000 0.000
Os2 0.250 0.250 0.250

***

no.,calculated density (kg/m3)
1,8659
2,17881
3,4946
4,7797
5,4523
6,19811
7,11758
8,15769